A relaxed structure of LaSm3Sb3. Source: the Alexandria database, functional GGA-PBE.

POSCAR file:
```
LaSm3Sb3
1.0
4.668 2.695 6.255
-4.668 2.695 6.255
0.000 -5.391 6.255
La Sm Sb
2 6 6
Direct
0.166 0.166 0.166
0.834 0.834 0.834
0.146 0.409 0.684
0.316 0.854 0.591
0.409 0.684 0.146
0.591 0.316 0.854
0.684 0.146 0.409
0.854 0.591 0.316
0.041 0.794 0.424
0.206 0.576 0.959
0.424 0.041 0.794
0.576 0.959 0.206
0.794 0.424 0.041
0.959 0.206 0.576
```

## Properties
Formation energy from raw total energies   -0.952 eV/atom
Excess energy over the best structure of this formula in the dataset   113.5 meV per atom

=====

A relaxed structure of Ac2SmTl3Se6. Source: the Alexandria database, functional GGA-PBE.

POSCAR file:
```
Ac2SmTl3Se6
1.0
3.877 -6.710 0.000
3.877 6.710 0.000
-2.580 0.000 7.720
Ac Sm Tl Se
2 1 3 6
Direct
0.167 0.833 0.000
0.833 0.167 0.000
0.500 0.500 0.000
0.000 0.000 0.500
0.333 0.667 0.500
0.667 0.333 0.500
0.110 0.429 0.787
0.253 0.253 0.216
0.429 0.110 0.787
0.571 0.890 0.213
0.747 0.747 0.784
0.890 0.571 0.213
```

## Properties
Formation energy from raw total energies   -1.416 eV/atom

=====

A relaxed structure of Ba2RhPbI. Source: the Alexandria database, functional GGA-PBE.

POSCAR file:
```
Ba2RhPbI
1.0
6.228 0.000 0.000
0.000 6.228 0.000
0.000 0.000 5.158
Ba Rh Pb I
2 1 1 1
Direct
0.000 0.500 0.000
0.500 0.000 0.000
0.000 0.000 0.000
0.000 0.000 0.500
0.500 0.500 0.500
```

## Properties
Formation energy from raw total energies   -0.706 eV/atom
Excess energy over the best structure of this formula in the dataset   0.0 meV per atom

=====

A relaxed structure of ScCu2As. Source: the Alexandria database, functional GGA-PBE.

POSCAR file:
```
ScCu2As
1.0
2.965 0.000 0.000
0.000 3.705 0.000
0.000 0.000 5.853
Sc Cu As
1 2 1
Direct
0.000 0.000 0.000
0.000 0.000 0.533
0.500 0.500 0.695
0.500 0.500 0.250
```

## Properties
E_form   -234 meV/atom

=====

A relaxed structure of PuSiTc2P. Source: the Alexandria database, functional GGA-PBE.

POSCAR file:
```
PuSiTc2P
1.0
2.920 -4.922 0.000
2.920 4.922 0.000
0.000 0.000 5.858
Pu Si Tc P
2 2 4 2
Direct
0.246 0.754 0.750
0.754 0.246 0.250
0.126 0.874 0.250
0.874 0.126 0.750
0.256 0.256 0.000
0.256 0.256 0.500
0.744 0.744 0.000
0.744 0.744 0.500
0.376 0.624 0.250
0.624 0.376 0.750
```

## Properties
Formation energy from raw total energies   -0.624 eV/atom

=====

A relaxed structure of CaDy4ErS8. Source: the Alexandria database, functional GGA-PBE.

POSCAR file:
```
CaDy4ErS8
1.0
4.040 2.332 6.582
-4.040 2.332 6.582
0.000 -4.665 6.582
Ca Dy Er S
1 4 1 8
Direct
0.000 0.000 0.000
0.119 0.627 0.627
0.250 0.250 0.250
0.627 0.119 0.627
0.627 0.627 0.119
0.627 0.627 0.627
0.383 0.383 0.383
0.384 0.384 0.850
0.384 0.850 0.384
0.407 0.863 0.863
0.850 0.384 0.384
0.863 0.407 0.863
0.863 0.863 0.407
0.865 0.865 0.865
```

## Properties
Formation energy from raw total energies   -2.002 eV/atom

=====

A relaxed structure of Na3Cd3In5. Source: the Alexandria database, functional GGA-PBE.

POSCAR file:
```
Na3Cd3In5
1.0
10.688 0.000 0.000
-5.344 9.256 0.000
0.000 0.000 3.123
Na Cd In
3 3 5
Direct
0.000 0.411 0.000
0.411 0.000 0.000
0.589 0.589 0.000
0.000 0.162 0.500
0.162 0.000 0.500
0.838 0.838 0.500
0.000 0.672 0.500
0.328 0.328 0.500
0.333 0.667 0.500
0.667 0.333 0.500
0.672 0.000 0.500
```

## Properties
E_form   31 meV/atom
Excess energy over the best structure of this formula in the dataset   0.0 meV per atom

=====

A relaxed structure of Tb4GeSe2N. Source: the Alexandria database, functional GGA-PBE.

POSCAR file:
```
Tb4GeSe2N
1.0
6.853 0.000 0.000
0.000 3.927 0.000
-2.273 0.000 6.658
Tb Ge Se N
4 1 2 1
Direct
0.220 0.000 0.211
0.236 0.500 0.776
0.764 0.500 0.224
0.780 0.000 0.789
0.500 0.000 0.000
0.000 0.000 0.500
0.500 0.500 0.500
0.000 0.500 0.000
```

## Properties
Formation energy from raw total energies   -1.469 eV/atom

=====

A relaxed structure of Pa4H2Se5. Source: the Alexandria database, functional GGA-PBE.

POSCAR file:
```
Pa4H2Se5
1.0
8.535 -1.961 0.000
8.535 1.961 0.000
-1.908 0.000 7.961
Pa H Se
4 2 5
Direct
0.003 0.003 0.261
0.348 0.348 0.423
0.652 0.652 0.577
0.997 0.997 0.739
0.461 0.461 0.620
0.539 0.539 0.380
0.166 0.166 0.832
0.175 0.175 0.330
0.500 0.500 0.000
0.825 0.825 0.670
0.834 0.834 0.168
```

## Properties
DFT total energy   -72.4 eV/cell

=====

A relaxed structure of BAuI4. Source: the Alexandria database, functional GGA-PBE.

POSCAR file:
```
BAuI4
1.0
5.167 -5.365 0.000
5.167 5.365 0.000
0.000 0.000 10.077
B Au I
2 2 8
Direct
0.199 0.801 0.750
0.801 0.199 0.250
0.189 0.189 0.000
0.811 0.811 0.500
0.109 0.253 0.246
0.253 0.109 0.754
0.297 0.677 0.935
0.323 0.703 0.565
0.677 0.297 0.065
0.703 0.323 0.435
0.747 0.891 0.254
0.891 0.747 0.746
```

## Properties
Formation energy from raw total energies   -0.014 eV/atom

=====

A relaxed structure of PrY5Ho6. Source: the Alexandria database, functional GGA-PBE.

POSCAR file:
```
PrY5Ho6
1.0
3.082 -5.334 0.000
3.082 5.334 0.000
-2.045 0.000 11.630
Pr Y Ho
1 5 6
Direct
0.000 0.000 0.000
0.167 0.833 0.500
0.333 0.667 0.000
0.500 0.500 0.500
0.667 0.333 0.000
0.833 0.167 0.500
0.083 0.417 0.251
0.250 0.250 0.749
0.417 0.083 0.251
0.583 0.917 0.749
0.750 0.750 0.251
0.917 0.583 0.749
```

## Properties
E_form   22 meV/atom

=====

A relaxed structure of CsZn3Sb. Source: the Alexandria database, functional GGA-PBE.

POSCAR file:
```
CsZn3Sb
1.0
6.723 0.000 0.000
0.000 6.723 0.000
0.000 0.000 6.723
Cs Zn Sb
1 3 1
Direct
0.000 0.000 0.000
0.000 0.000 0.500
0.000 0.500 0.000
0.500 0.000 0.000
0.500 0.500 0.500
```

## Properties
Formation energy from raw total energies   1.017 eV/atom
Excess energy over the best structure of this formula in the dataset   768.8 meV per atom

=====

| no. | size of the total moment (μB per atom) |
| --- | --- |
| 1 | 0.0000 |
| 2 | 0.0000 |
| 3 | 0.0000 |
| 4 | 0.0000 |
| 5 | 0.9931 |
| 6 | 0.0000 |
| 7 | 0.0000 |
| 8 | 0.0000 |
| 9 | 0.2268 |
| 10 | 0.0000 |
| 11 | 0.0000 |
| 12 | 0.4000 |